1.
The following is a PBE calculation of a geometry-optimized CsLiCeCl6 structure, from the Alexandria database. Values from VASP.

Values from the calculation:
Energy relative to the elements, uncorrected (eV/atom): -1.972
Crystal system: trigonal

The structure in Quantum ESPRESSO input format:
```
&SYSTEM
  ibrav = 0, nat = 18, ntyp = 4
/
ATOMIC_SPECIES
Cs 132.91 Cs.upf
Li 6.94 Li.upf
Ce 140.12 Ce.upf
Cl 35.45 Cl.upf
CELL_PARAMETERS angstrom
6.878 0.000 0.000
-3.439 5.957 0.000
0.000 0.000 15.587
ATOMIC_POSITIONS crystal
Cs 0.000 0.000 0.000
Cs 0.000 0.000 0.500
Li 0.333 0.667 0.250
Li 0.667 0.333 0.750
Ce 0.667 0.333 0.250
Ce 0.333 0.667 0.750
Cl 0.623 0.624 0.153
Cl 0.002 0.377 0.153
Cl 0.377 0.002 0.653
Cl 0.998 0.623 0.847
Cl 0.376 0.377 0.347
Cl 0.002 0.624 0.347
Cl 0.624 0.002 0.847
Cl 0.623 0.998 0.347
Cl 0.998 0.376 0.653
Cl 0.376 0.998 0.153
Cl 0.624 0.623 0.653
Cl 0.377 0.376 0.847
```



2.
The following is a PBE calculation of a geometry-optimized Hg2TeS structure, from the Alexandria database. Values from VASP.

Values from the calculation:
Excess energy over the best structure of this formula in the dataset (meV/atom): 26
Energy relative to the elements, uncorrected (eV/atom): -0.110
Crystal system: trigonal
Density of states at the Fermi level (states/eV per cell): 0.5

The structure in Quantum ESPRESSO input format:
```
&SYSTEM
  ibrav = 0, nat = 4, ntyp = 3
/
ATOMIC_SPECIES
S 32.06 S.upf
Te 127.60 Te.upf
Hg 200.59 Hg.upf
CELL_PARAMETERS angstrom
-5.370 -3.787 4.144
-1.652 -6.271 4.278
-2.071 -2.726 6.974
ATOMIC_POSITIONS crystal
S 0.874 0.874 0.874
Te 0.377 0.377 0.377
Hg 0.992 0.992 0.992
Hg 0.507 0.507 0.507
```



3.
The following is a PBE calculation of a geometry-optimized Y2CrCu structure, from the Alexandria database. Values from VASP.

Values from the calculation:
Energy of formation from the pure elements (eV/atom): 0.29
Crystal system: tetragonal
Density of states at the Fermi level (states/eV per cell): 4.6

The structure in Quantum ESPRESSO input format:
```
&SYSTEM
  ibrav = 0, nat = 4, ntyp = 3
/
ATOMIC_SPECIES
Cr 52.00 Cr.upf
Cu 63.55 Cu.upf
Y 88.91 Y.upf
CELL_PARAMETERS angstrom
-4.340 2.543 2.885
-5.375 -0.623 -2.085
4.505 -3.432 1.247
ATOMIC_POSITIONS crystal
Cr 0.500 0.500 0.000
Cu 0.750 0.250 0.500
Y 0.000 0.000 0.000
Y 0.250 0.750 0.500
```



4.
The following is a PBE calculation of a geometry-optimized TcIrPt6 structure, from the Alexandria database. Values from VASP.

Values from the calculation:
Energy of formation from the pure elements (eV/atom): -0.04
Crystal system: monoclinic
Density of states at the Fermi level (states/eV per cell): 9.1

The structure in Quantum ESPRESSO input format:
```
&SYSTEM
  ibrav = 0, nat = 8, ntyp = 3
/
ATOMIC_SPECIES
Tc 98.00 Tc.upf
Ir 192.22 Ir.upf
Pt 195.08 Pt.upf
CELL_PARAMETERS angstrom
-2.293 -2.920 1.300
0.681 -4.202 -2.286
4.154 -3.779 4.788
ATOMIC_POSITIONS crystal
Tc 0.000 0.000 0.000
Ir 0.000 0.500 0.500
Pt 0.251 0.871 0.626
Pt 0.502 0.242 0.754
Pt 0.250 0.376 0.123
Pt 0.498 0.758 0.246
Pt 0.749 0.129 0.374
Pt 0.750 0.624 0.877
```



5.
The following is a PBE calculation of a geometry-optimized BeRuBr2 structure, from the Alexandria database. Values from VASP.

Values from the calculation:
Excess energy over the best structure of this formula in the dataset (meV/atom): 747
Energy relative to the elements, uncorrected (eV/atom): 0.745
Crystal system: trigonal
Density of states at the Fermi level (states/eV per cell): 0.4

The structure in Quantum ESPRESSO input format:
```
&SYSTEM
  ibrav = 0, nat = 4, ntyp = 3
/
ATOMIC_SPECIES
Ru 101.07 Ru.upf
Br 79.90 Br.upf
Be 9.01 Be.upf
CELL_PARAMETERS angstrom
2.158 0.000 7.202
-1.079 1.869 7.202
-1.079 -1.869 7.202
ATOMIC_POSITIONS crystal
Ru 0.500 0.500 0.500
Br 0.898 0.898 0.898
Br 0.102 0.102 0.102
Be 0.000 0.000 0.000
```



Question: Which formula does entry 4 have?
Answer: TcIrPt6